First-principles (GGA-PBE) data for BaCoOs2 after structural relaxation, as listed in the Alexandria database.

POSCAR file:
```
BaCoOs2
1.0
-0.1113 -2.4972 -1.5413
0.0648 -2.4243 3.9233
-5.4165 0.1348 0.1727
Ba Co Os
1 1 2
Direct
0.5000 0.0000 0.5000 Ba
0.0000 0.5000 0.5000 Co
0.0000 0.0000 0.0000 Os
0.5000 0.5000 0.0000 Os
```

Results
Density of states at the Fermi level ... 6.4 states/eV/f.u.
M_tot ... 0.384 μB/atom
Energy of formation ... 1.339 eV/atom
Relative energy among the computed polymorphs ... 1028.2 meV per atom